No. 1
TbTc2C2 after structural relaxation, computed with PBE-GGA.

space-group type	No. 15
calculated formation energy	-15.69	kJ/mol of atoms

Geometry as extended XYZ:
```
10
Lattice="-2.275 -2.009 4.636 5.333 0.725 1.316 -2.321 4.918 -1.269" Properties=species:S:1:pos:R:3 pbc="T T T"
Tc -2.807 1.096 2.934
C -0.483 3.545 0.321
Tc 3.544 2.538 1.749
C -1.157 0.426 1.756
Tb -0.387 2.388 3.922
C 1.895 3.208 2.927
Tb 1.124 1.246 0.761
C 1.220 0.090 4.362
Tc 0.590 4.352 1.897
Tc 0.148 -0.718 2.786
```

---

No. 2
TbTc3C3 after structural relaxation, computed with PBE-GGA.

space-group type	No. 148
calculated formation energy	7.73	kJ/mol of atoms

Geometry as extended XYZ:
```
14
Lattice="-3.143 1.032 -4.959 -5.008 -3.060 -1.046 -6.134 3.853 1.106" Properties=species:S:1:pos:R:3 pbc="T T T"
Tb -2.754 -0.627 -1.968
Tb -11.531 2.451 -2.931
Tc -7.818 0.477 -4.458
Tc -7.166 2.853 -3.405
C -9.028 2.053 -3.474
C -5.258 -0.229 -1.425
C -5.957 1.368 -4.521
C -8.328 0.456 -0.378
C -6.136 2.962 -1.620
Tc -5.045 1.371 -2.711
Tc -9.240 0.453 -2.188
Tc -6.467 1.347 -0.441
Tc -7.119 -1.029 -1.494
C -8.150 -1.138 -3.279
```

---

No. 3
TbTcC2 after structural relaxation, computed with PBE-GGA.

space-group type	No. 166
calculated formation energy	9.37	kJ/mol of atoms

Geometry as extended XYZ:
```
4
Lattice="3.237 0.000 0.000 1.619 2.804 0.000 1.619 0.935 5.486" Properties=species:S:1:pos:R:3 pbc="T T T"
C 1.619 0.935 1.154
Tc 0.000 0.000 0.000
Tb 3.237 1.869 2.743
C 4.856 2.804 4.332
```

---

No. 4
Tb2ThTcC4 after structural relaxation, computed with PBE-GGA.

space-group type	No. 63
calculated formation energy	-7.51	kJ/mol of atoms

Geometry as extended XYZ:
```
16
Lattice="3.522 0.000 0.000 -1.761 6.073 0.000 0.000 0.000 12.225" Properties=species:S:1:pos:R:3 pbc="T T T"
C 1.761 2.803 10.604
Th 1.761 4.969 3.056
Tc 1.761 4.004 9.169
Tb 0.000 4.499 6.609
C 0.000 5.123 9.169
C 0.000 0.000 6.112
C 0.000 0.000 0.000
Tb 1.761 1.574 5.616
Tb 0.000 4.499 11.728
Th 0.000 1.103 9.169
C 1.761 0.949 3.056
Tc 0.000 2.069 3.056
C 1.761 2.803 7.733
C 0.000 3.269 4.492
Tb 1.761 1.574 0.496
C 0.000 3.269 1.621
```

---

No. 5
TbTh2TcC4 after structural relaxation, computed with PBE-GGA.

space-group type	No. 63
calculated formation energy	0.00	kJ/mol of atoms

Geometry as extended XYZ:
```
16
Lattice="-2.629 -1.378 -2.081 2.472 -4.833 3.234 -8.403 1.946 9.329" Properties=species:S:1:pos:R:3 pbc="T T T"
Tb -2.498 -4.582 3.032
C -6.122 -2.011 5.909
Th -4.867 -1.264 3.828
C -3.226 -1.107 1.651
Tc -6.841 -2.931 7.427
Tb -6.063 0.317 7.451
C -4.202 0.973 4.665
C -0.521 -2.697 2.445
Th -7.212 -2.186 10.560
C 0.000 0.000 0.000
C -2.439 -2.253 4.573
Th -3.694 -3.001 6.654
C -5.335 -3.157 8.831
Tc -1.719 -1.334 3.056
C -8.039 -1.568 8.038
Th -1.349 -2.079 -0.077
```

---

No. 6
Tb2TlTcC after structural relaxation, computed with PBE-GGA.

space-group type	No. 123
calculated formation energy	-29.98	kJ/mol of atoms

Geometry as extended XYZ:
```
5
Lattice="4.029 0.000 0.000 0.000 5.046 0.000 0.000 0.000 5.046" Properties=species:S:1:pos:R:3 pbc="T T T"
Tl 2.014 2.523 2.523
Tb 0.000 0.000 2.523
C 0.000 0.000 0.000
Tb 0.000 2.523 0.000
Tc 2.014 0.000 0.000
```

---

No. 7
Tb2UTc2C4 after structural relaxation, computed with PBE-GGA.

space-group type	No. 12
calculated formation energy	-3.45	kJ/mol of atoms

Geometry as extended XYZ:
```
9
Lattice="3.466 0.000 0.000 -1.733 6.388 0.228 0.000 -2.012 5.761" Properties=species:S:1:pos:R:3 pbc="T T T"
C 0.000 2.474 1.429
C 1.733 -1.211 4.324
Tc 1.733 2.228 0.100
C 1.733 1.902 4.559
Tb 1.733 3.734 2.818
Tb 0.000 0.642 3.171
C 0.000 5.587 1.665
U 0.000 0.000 0.000
Tc 0.000 2.148 5.889
```

---

No. 8
TbUTcC3 after structural relaxation, computed with PBE-GGA.

space-group type	No. 11
calculated formation energy	3.68	kJ/mol of atoms

Geometry as extended XYZ:
```
12
Lattice="3.597 0.000 0.000 0.000 6.922 1.409 0.000 -1.981 7.487" Properties=species:S:1:pos:R:3 pbc="T T T"
C 0.899 2.304 7.404
C 2.698 5.657 2.330
U 0.899 4.030 2.144
C 0.899 -0.716 6.566
Tb 2.698 4.255 7.466
Tc 0.899 -0.455 4.581
C 2.698 0.189 4.101
C 0.899 4.753 4.795
C 2.698 2.637 1.491
U 2.698 0.911 6.752
Tb 0.899 0.686 1.430
Tc 2.698 5.396 4.315
```

---

No. 9
Tb2UTcC4 after structural relaxation, computed with PBE-GGA.

space-group type	No. 63
calculated formation energy	9.44	kJ/mol of atoms

Geometry as extended XYZ:
```
16
Lattice="3.433 0.000 0.000 -1.717 5.904 0.000 0.000 0.000 12.215" Properties=species:S:1:pos:R:3 pbc="T T T"
C 1.717 0.704 3.054
Tc 0.000 1.932 3.054
Tb 1.717 1.553 0.503
C 0.000 3.235 4.434
U 1.717 4.755 3.054
Tb 1.717 1.553 5.604
C 0.000 3.235 1.674
C 1.717 2.669 7.782
U 0.000 1.149 9.162
Tb 0.000 4.351 6.611
C 0.000 0.000 6.108
C 1.717 2.669 10.541
C 0.000 0.000 0.000
Tc 1.717 3.972 9.162
C 0.000 5.200 9.162
Tb 0.000 4.351 11.712
```

---

No. 10
TbU2TcC4 after structural relaxation, computed with PBE-GGA.

space-group type	No. 63
calculated formation energy	-5.03	kJ/mol of atoms

Geometry as extended XYZ:
```
16
Lattice="3.548 0.000 0.000 -1.774 5.846 0.000 0.000 0.000 11.352" Properties=species:S:1:pos:R:3 pbc="T T T"
Tb 0.000 1.376 8.514
Tc 1.774 4.161 8.514
C 0.000 3.079 1.350
C 0.000 0.000 5.676
Tc 0.000 1.686 2.838
C 0.000 3.079 4.326
Tb 1.774 4.470 2.838
U 1.774 1.514 5.134
U 1.774 1.514 0.542
C 0.000 5.290 8.514
C 0.000 0.000 0.000
U 0.000 4.333 10.809
C 1.774 0.557 2.838
C 1.774 2.768 7.026
U 0.000 4.333 6.218
C 1.774 2.768 10.002
```

---

No. 11
Tb6Te5C after structural relaxation, computed with PBE-GGA.

E_form (uncorrected)	-1.20	eV/atom
space-group type	No. 12

Geometry as extended XYZ:
```
12
Lattice="-4.331 3.299 4.897 -4.965 -4.928 2.634 1.597 -4.068 6.006" Properties=species:S:1:pos:R:3 pbc="T T T"
Te -4.648 -0.814 3.766
C 0.000 0.000 0.000
Tb -3.698 -3.652 4.430
Te -2.222 -6.006 5.787
Tb -4.388 -6.821 7.808
Tb -3.312 1.124 5.729
Tb -1.988 -0.259 1.641
Tb -4.002 -2.045 9.106
Te -5.656 -3.858 6.777
Te -1.146 -2.989 2.853
Tb -7.308 -1.370 5.890
Te -2.043 -1.839 6.759
```

---

No. 12
Tb3Te3C after structural relaxation, computed with PBE-GGA.

E_form (uncorrected)	-0.94	eV/atom
space-group type	No. 12

Geometry as extended XYZ:
```
14
Lattice="0.050 -1.291 -7.557 4.547 -4.770 3.918 -6.548 -3.607 1.473" Properties=species:S:1:pos:R:3 pbc="T T T"
Te 1.275 -2.238 -4.432
Te 0.370 -4.895 -1.629
Tb -0.846 -7.469 0.149
Tb -4.975 -3.558 0.872
Tb -1.105 -2.199 -2.316
C -1.775 -8.174 -1.782
Te 3.323 -3.822 0.793
Tb 3.025 -6.110 -3.038
Te -2.321 -4.773 -0.537
Te -2.466 -3.681 -4.886
C -0.175 -1.495 -0.384
Te 0.515 -5.987 2.720
Tb -2.156 -6.456 -3.194
Tb 0.206 -3.213 1.027
```